[1]
Crystalline GaNi2Mo at its relaxed geometry. Source: Alexandria, functional PBE.

E_tot: -6.505 eV per atom
space group: Pm (6)
total magnetization: 0.0 μB per cell
formation enthalpy at 0 K: -0.15 eV/atom
V: 104.1 Å³/cell

Geometry as extended XYZ:
```
8
Lattice="4.992 0.000 0.000 0.000 4.124 0.000 -0.622 0.000 5.058" Properties=species:S:1:pos:R:3 pbc="T T T"
Ga 0.000 0.000 0.000
Ga 0.813 2.062 1.936
Ni 0.492 2.062 4.386
Ni 2.185 0.000 1.988
Ni 1.888 0.000 4.487
Ni 4.572 0.000 2.535
Mo 3.379 2.062 0.878
Mo 3.069 2.062 3.420
```

***

[2]
Crystalline TeIrAu2 at its relaxed geometry. Source: Alexandria, functional PBE.

uncorrected formation energy: 2.14 eV per formula unit
E_tot: -4.105 eV per atom
space group: P4/mmm (123)
total magnetization: 0.7 μB per cell
V: 79.8 Å³/cell

Geometry as extended XYZ:
```
4
Lattice="3.016 0.000 0.000 0.000 3.016 0.000 0.000 0.000 8.773" Properties=species:S:1:pos:R:3 pbc="T T T"
Te 0.000 0.000 0.000
Ir 0.000 0.000 4.387
Au 1.508 1.508 2.536
Au 1.508 1.508 6.237
```

***

[3]
Crystalline NaInGaAg at its relaxed geometry. Source: Alexandria, functional PBE.

E_tot: -2.522 eV per atom
E above lowest polymorph: 0 meV per atom
space group: F-43m (216)
total magnetization: 0.0 μB per cell
formation enthalpy at 0 K: -0.04 eV/atom
V: 85.4 Å³/cell

Geometry as extended XYZ:
```
4
Lattice="0.000 3.496 3.496 3.496 0.000 3.496 3.496 3.496 0.000" Properties=species:S:1:pos:R:3 pbc="T T T"
Na 0.000 0.000 0.000
In 3.496 3.496 3.496
Ga 5.243 5.243 5.243
Ag 1.748 1.748 1.748
```

***

[4]
Crystalline CaZnGa2Cu4 at its relaxed geometry. Source: Alexandria, functional PBE.

E_tot: -3.356 eV per atom
space group: R-3m (166)
total magnetization: 0.0 μB per cell
formation enthalpy at 0 K: -0.14 eV/atom
V: 129.9 Å³/cell

Geometry as extended XYZ:
```
8
Lattice="2.095 1.209 8.543 -2.095 1.209 8.543 0.000 -2.419 8.543" Properties=species:S:1:pos:R:3 pbc="T T T"
Ca 0.000 0.000 0.000
Zn 0.000 0.000 12.814
Ga 0.000 0.000 6.256
Ga 0.000 0.000 19.372
Cu 0.000 0.000 3.363
Cu 0.000 0.000 10.418
Cu 0.000 0.000 15.210
Cu 0.000 0.000 22.265
```

***

[5]
Crystalline La2FeHgC at its relaxed geometry. Source: Alexandria, functional PBE.

E_tot: -5.820 eV per atom
space group: P4/mmm (123)
total magnetization: 0.3 μB per cell
formation enthalpy at 0 K: -0.25 eV/atom
V: 109.9 Å³/cell

Geometry as extended XYZ:
```
5
Lattice="5.423 0.000 0.000 0.000 5.423 0.000 0.000 0.000 3.739" Properties=species:S:1:pos:R:3 pbc="T T T"
La 0.000 2.711 0.000
La 2.711 0.000 0.000
Fe 0.000 0.000 1.869
Hg 2.711 2.711 1.869
C 0.000 0.000 0.000
```

***

[6]
Crystalline ZnNi2 at its relaxed geometry. Source: Alexandria, functional PBE.

E_tot: -4.165 eV per atom
space group: I4/mcm (140)
total magnetization: 0.0 μB per cell
formation enthalpy at 0 K: 0.11 eV/atom
V: 73.9 Å³/cell

Geometry as extended XYZ:
```
6
Lattice="-2.791 2.791 2.372 2.791 -2.791 2.372 2.791 2.791 -2.372" Properties=species:S:1:pos:R:3 pbc="T T T"
Zn 0.000 0.000 1.186
Zn 0.000 0.000 3.559
Ni 3.614 0.822 0.000
Ni 0.822 1.969 0.000
Ni 1.969 0.822 2.372
Ni -0.822 1.969 2.372
```

***

[7]
Crystalline TbSi3Rh5 at its relaxed geometry. Source: Alexandria, functional PBE.

uncorrected formation energy: -6.99 eV per formula unit
E_tot: -7.183 eV per atom
E above lowest polymorph: 203 meV per atom
space group: Cmcm (63)
total magnetization: 0.0 μB per cell
V: 293.4 Å³/cell

Geometry as extended XYZ:
```
18
Lattice="1.957 -6.153 0.000 1.957 6.153 0.000 0.000 0.000 12.184" Properties=species:S:1:pos:R:3 pbc="T T T"
Tb 1.957 4.196 9.138
Tb 1.957 -4.196 3.046
Si 1.957 4.758 3.046
Si 1.957 1.428 0.505
Si 1.957 1.428 5.587
Si 1.957 -1.428 6.597
Si 1.957 -1.428 11.679
Si 1.957 -4.758 9.138
Rh 0.000 0.000 0.000
Rh 0.000 0.000 6.092
Rh 1.957 3.653 0.915
Rh 1.957 3.653 5.177
Rh 1.957 0.625 7.850
Rh 1.957 0.625 10.425
Rh 1.957 -0.625 1.758
Rh 1.957 -0.625 4.334
Rh 1.957 -3.653 7.007
Rh 1.957 -3.653 11.269
```

***

[8]
Crystalline LaDyYEr at its relaxed geometry. Source: Alexandria, functional PBE.

E_tot: -5.111 eV per atom
E above lowest polymorph: 0 meV per atom
space group: R3m (160)
total magnetization: 0.0 μB per cell
formation enthalpy at 0 K: 0.03 eV/atom
V: 131.2 Å³/cell

Geometry as extended XYZ:
```
4
Lattice="1.800 1.039 11.697 -1.800 1.039 11.697 0.000 -2.078 11.697" Properties=species:S:1:pos:R:3 pbc="T T T"
La 0.000 0.000 0.000
Dy 0.000 0.000 8.709
Y 0.000 0.000 14.761
Er 0.000 0.000 29.302
```

***

[9]
Crystalline Pm2SnCl8 at its relaxed geometry. Source: Alexandria, functional PBE.

uncorrected formation energy: -20.03 eV per formula unit
E_tot: -4.392 eV per atom
E above lowest polymorph: 0 meV per atom
space group: C2/m (12)
total magnetization: 0.0 μB per cell
V: 329.0 Å³/cell

Geometry as extended XYZ:
```
11
Lattice="7.494 -3.628 0.000 7.494 3.628 0.000 -2.298 0.000 6.052" Properties=species:S:1:pos:R:3 pbc="T T T"
Pm 3.000 0.000 1.062
Pm 9.689 0.000 4.989
Sn 7.494 0.000 0.000
Cl 0.570 0.000 1.806
Cl 5.216 1.746 0.887
Cl 3.534 0.000 3.754
Cl 7.472 1.746 5.164
Cl 5.216 -1.746 0.887
Cl 9.155 0.000 2.298
Cl 7.472 -1.746 5.164
Cl 12.119 0.000 4.246
```

***

[10]
Crystalline Li3HgAs at its relaxed geometry. Source: Alexandria, functional PBE.

E_tot: -2.617 eV per atom
E above lowest polymorph: 0 meV per atom
space group: Pnma (62)
total magnetization: 0.0 μB per cell
formation enthalpy at 0 K: -0.48 eV/atom
V: 379.6 Å³/cell

Geometry as extended XYZ:
```
20
Lattice="7.731 0.000 0.000 0.000 9.771 0.000 0.000 0.000 5.026" Properties=species:S:1:pos:R:3 pbc="T T T"
Li 0.548 2.443 0.776
Li 1.316 0.068 2.749
Li 1.316 4.818 2.749
Li 2.549 4.953 0.236
Li 2.549 9.704 0.236
Li 3.318 7.329 3.289
Li 4.413 2.443 1.737
Li 5.182 0.068 4.790
Li 5.182 4.818 4.790
Li 6.414 4.953 2.277
Li 6.414 9.704 2.277
Li 7.183 7.329 4.250
Hg 0.718 7.329 1.746
Hg 3.148 2.443 4.259
Hg 4.583 7.329 0.767
Hg 7.013 2.443 3.280
As 0.000 0.000 0.000
As 0.000 4.886 0.000
As 3.865 0.000 2.513
As 3.865 4.886 2.513
```

***

[11]
Crystalline KY2Br2F5 at its relaxed geometry. Source: Alexandria, functional PBE.

uncorrected formation energy: -31.07 eV per formula unit
E_tot: -5.779 eV per atom
space group: P4/mbm (127)
total magnetization: 0.0 μB per cell
V: 364.7 Å³/cell

Geometry as extended XYZ:
```
20
Lattice="10.199 0.000 0.000 0.000 10.199 0.000 0.000 0.000 3.506" Properties=species:S:1:pos:R:3 pbc="T T T"
K 0.000 0.000 0.000
K 5.100 5.100 0.000
Y 1.299 3.800 0.000
Y 3.800 8.900 0.000
Y 6.399 1.299 0.000
Y 8.900 6.399 0.000
Br 1.721 6.821 0.000
Br 3.379 1.721 0.000
Br 6.821 8.479 0.000
Br 8.479 3.379 0.000
F 0.000 5.100 1.753
F 0.794 2.429 1.753
F 2.429 9.406 1.753
F 2.671 4.306 1.753
F 4.306 7.528 1.753
F 5.100 0.000 1.753
F 5.893 2.671 1.753
F 7.528 5.893 1.753
F 7.771 0.794 1.753
F 9.406 7.771 1.753
```

***

[12]
Crystalline HoErBr at its relaxed geometry. Source: Alexandria, functional PBE.

uncorrected formation energy: -2.13 eV per formula unit
E_tot: -4.315 eV per atom
E above lowest polymorph: 11 meV per atom
space group: P-1 (2)
total magnetization: 0.0 μB per cell
V: 189.5 Å³/cell

Geometry as extended XYZ:
```
6
Lattice="3.554 0.000 0.000 0.000 3.554 0.000 -0.030 -0.013 15.002" Properties=species:S:1:pos:R:3 pbc="T T T"
Ho 0.874 0.882 3.736
Ho 2.651 2.659 11.266
Er 0.874 0.882 8.759
Er 2.651 2.659 6.244
Br 0.874 0.882 13.023
Br 2.651 2.659 1.980
```

***

[13]
Crystalline PaFe3 at its relaxed geometry. Source: Alexandria, functional PBE.

E_tot: -8.836 eV per atom
space group: C2/m (12)
total magnetization: 5.9 μB per cell
formation enthalpy at 0 K: -0.12 eV/atom
V: 170.0 Å³/cell

Geometry as extended XYZ:
```
12
Lattice="4.243 -2.380 0.000 4.243 2.380 0.000 -2.895 0.000 8.417" Properties=species:S:1:pos:R:3 pbc="T T T"
Pa 0.000 0.000 0.000
Pa -0.025 0.000 3.584
Pa 5.616 0.000 4.833
Fe 2.110 1.188 2.017
Fe 0.094 0.000 8.405
Fe 1.354 0.000 6.342
Fe 3.481 1.188 6.400
Fe 2.795 0.000 4.208
Fe 2.110 -1.188 2.017
Fe 4.236 0.000 2.074
Fe 5.497 0.000 0.012
Fe 3.481 -1.188 6.400
```

***

[14]
Crystalline SmY2Mg8 at its relaxed geometry. Source: Alexandria, functional PBE.

E_tot: -2.817 eV per atom
space group: C2/m (12)
total magnetization: 0.0 μB per cell
formation enthalpy at 0 K: -0.05 eV/atom
V: 281.9 Å³/cell

Geometry as extended XYZ:
```
11
Lattice="8.007 -2.535 0.000 8.007 2.535 0.000 -2.308 0.000 6.945" Properties=species:S:1:pos:R:3 pbc="T T T"
Sm 0.000 0.000 0.000
Y 3.645 0.000 2.506
Y 10.062 0.000 4.439
Mg 0.353 0.000 3.243
Mg 0.792 0.000 6.225
Mg 3.781 0.000 5.878
Mg 6.944 0.000 1.961
Mg 6.762 0.000 4.984
Mg 9.926 0.000 1.066
Mg 12.914 0.000 0.720
Mg 13.354 0.000 3.702
```

***

[15]
Crystalline CdP2Ir at its relaxed geometry. Source: Alexandria, functional PBE.

E_tot: -5.090 eV per atom
space group: Pmm2 (25)
total magnetization: 0.0 μB per cell
formation enthalpy at 0 K: 0.06 eV/atom
V: 74.7 Å³/cell

Geometry as extended XYZ:
```
4
Lattice="2.866 0.000 0.000 0.000 3.537 0.000 0.000 0.000 7.365" Properties=species:S:1:pos:R:3 pbc="T T T"
Cd 0.000 0.000 0.000
P 0.000 0.000 2.613
P 1.433 1.768 5.776
Ir 1.433 1.768 3.490
```

***

[16]
Crystalline Ir2RhSe at its relaxed geometry. Source: Alexandria, functional PBE.

uncorrected formation energy: 1.10 eV per formula unit
E_tot: -6.864 eV per atom
space group: Pm (6)
total magnetization: 0.0 μB per cell
V: 61.3 Å³/cell

Geometry as extended XYZ:
```
4
Lattice="2.852 0.000 0.000 0.000 3.918 0.000 -1.406 0.000 5.486" Properties=species:S:1:pos:R:3 pbc="T T T"
Ir 0.000 0.000 0.000
Ir 0.022 1.959 4.281
Rh 1.427 1.959 1.529
Se 0.008 0.000 2.570
```

***

[17]
Crystalline LiMoCl at its relaxed geometry. Source: Alexandria, functional PBE.

uncorrected formation energy: 0.68 eV per formula unit
E_tot: -4.636 eV per atom
E above lowest polymorph: 198 meV per atom
space group: I4mm (107)
total magnetization: 0.0 μB per cell
V: 49.8 Å³/cell

Geometry as extended XYZ:
```
3
Lattice="-1.450 1.450 5.921 1.450 -1.450 5.921 1.450 1.450 -5.921" Properties=species:S:1:pos:R:3 pbc="T T T"
Li 0.000 0.000 0.000
Mo 0.000 0.000 3.827
Cl 0.000 0.000 8.121
```

***

[18]
Crystalline YPuFe2 at its relaxed geometry. Source: Alexandria, functional PBE.

E_tot: -9.386 eV per atom
space group: P4/mmm (123)
total magnetization: 1.8 μB per cell
formation enthalpy at 0 K: 0.04 eV/atom
V: 75.0 Å³/cell

Geometry as extended XYZ:
```
4
Lattice="3.328 0.000 0.000 0.000 3.328 0.000 0.000 0.000 6.770" Properties=species:S:1:pos:R:3 pbc="T T T"
Y 0.000 0.000 0.000
Pu 0.000 0.000 3.385
Fe 1.664 1.664 1.963
Fe 1.664 1.664 4.807
```

***

[19]
Crystalline Ac4Pm3Nd5 at its relaxed geometry. Source: Alexandria, functional PBE.

E_tot: -4.350 eV per atom
space group: C2/m (12)
total magnetization: 0.0 μB per cell
formation enthalpy at 0 K: 0.19 eV/atom
V: 467.0 Å³/cell

Geometry as extended XYZ:
```
12
Lattice="8.504 -3.146 0.000 8.504 3.146 0.000 -4.689 0.000 8.727" Properties=species:S:1:pos:R:3 pbc="T T T"
Ac -0.627 0.000 3.743
Ac -0.449 0.000 7.616
Ac 12.767 0.000 1.111
Ac 12.945 0.000 4.983
Pm 2.518 0.000 2.005
Pm 8.504 0.000 0.000
Pm 9.801 0.000 6.722
Nd 0.000 0.000 0.000
Nd 2.738 0.000 5.352
Nd 5.832 0.000 2.627
Nd 6.486 0.000 6.100
Nd 9.580 0.000 3.374
```

***

[20]
Crystalline PmSmCuOs at its relaxed geometry. Source: Alexandria, functional PBE.

E_tot: -6.322 eV per atom
space group: F-43m (216)
total magnetization: 0.0 μB per cell
formation enthalpy at 0 K: -0.12 eV/atom
V: 86.7 Å³/cell

Geometry as extended XYZ:
```
4
Lattice="0.000 3.512 3.512 3.512 0.000 3.512 3.512 3.512 0.000" Properties=species:S:1:pos:R:3 pbc="T T T"
Pm 0.000 0.000 0.000
Sm 3.512 3.512 3.512
Cu 1.756 1.756 1.756
Os 5.268 5.268 5.268
```